(1)
## Mg2HgSb (PBE-GGA)

Data for a relaxed Mg2HgSb crystal.

Geometry as POSCAR:
```
Mg2HgSb
1.0
-2.1258 2.1258 5.1659
2.1258 -2.1258 5.1659
2.1258 2.1258 -5.1659
Mg Hg Sb
2 1 1
direct
0.0000 0.0000 0.0000 Mg
0.7500 0.2500 0.5000 Mg
0.5000 0.5000 0.0000 Hg
0.2500 0.7500 0.5000 Sb
```

## Properties
The calculation puts the uncorrected formation energy at -161 meV per atom. The value obtained for the total energy is -8.26 eV for the cell shown.


(2)
## MgHg2Sb (PBE-GGA)

Data for a relaxed MgHg2Sb crystal.

Geometry as POSCAR:
```
MgHg2Sb
1.0
1.7419 1.0057 9.5332
-1.7419 1.0057 9.5332
0.0000 -2.0114 9.5332
Mg Hg Sb
1 2 1
direct
0.0000 0.0000 0.0000 Mg
0.2598 0.2598 0.2598 Hg
0.5084 0.5084 0.5084 Hg
0.7462 0.7462 0.7462 Sb
```

## Properties
The calculation puts the uncorrected formation energy at -42 meV per atom. The value obtained for the total energy is -6.49 eV for the cell shown.


(3)
## MgHgSb (PBE-GGA)

Data for a relaxed MgHgSb crystal.

Geometry as POSCAR:
```
MgHgSb
1.0
4.5610 0.0000 0.0000
-2.2805 3.9499 0.0000
0.0000 0.0000 4.3043
Mg Hg Sb
1 1 1
direct
0.0000 0.0000 0.0000 Mg
0.3333 0.6667 0.6779 Hg
0.6667 0.3333 0.3213 Sb
```

## Properties
The calculation puts the uncorrected formation energy at -51 meV per atom. The value obtained for the total energy is -6.17 eV for the cell shown.


(4)
## MgHg2Sb2 (PBE-GGA)

Data for a relaxed MgHg2Sb2 crystal.

Geometry as POSCAR:
```
MgHg2Sb2
1.0
-2.1259 2.1259 7.9267
2.1259 -2.1259 7.9267
2.1259 2.1259 -7.9267
Mg Hg Sb
1 2 2
direct
0.0000 0.0000 0.0000 Mg
0.4091 0.4091 0.0000 Hg
0.5909 0.5909 0.0000 Hg
0.2500 0.7500 0.5000 Sb
0.7500 0.2500 0.5000 Sb
```

## Properties
The calculation puts the uncorrected formation energy at 159 meV per atom. The value obtained for the total energy is -9.65 eV for the cell shown.


(5)
## Mg2HgSb (PBE-GGA)

Data for a relaxed Mg2HgSb crystal.

Geometry as POSCAR:
```
Mg2HgSb
1.0
5.0535 0.0000 0.0000
0.0000 9.8589 0.0000
0.0000 0.0000 4.6578
Mg Hg Sb
4 2 2
direct
0.0000 0.0218 0.0000 Mg
0.0000 0.6594 0.9987 Mg
0.5000 0.3406 0.4987 Mg
0.5000 0.9782 0.5000 Mg
0.0000 0.4698 0.4980 Hg
0.5000 0.5302 0.9980 Hg
0.0000 0.8371 0.4995 Sb
0.5000 0.1629 0.9995 Sb
```

## Properties
The calculation puts the uncorrected formation energy at -216 meV per atom. The value obtained for the total energy is -16.95 eV for the cell shown.


(6)
## Mg2HgSb (PBE-GGA)

Data for a relaxed Mg2HgSb crystal.

Geometry as POSCAR:
```
Mg2HgSb
1.0
4.3515 -1.7101 0.0000
4.3515 1.7101 0.0000
-1.2769 0.0000 6.5234
Mg Hg Sb
2 1 1
direct
0.2469 0.2469 0.2297 Mg
0.7531 0.7531 0.7703 Mg
0.5000 0.5000 0.0000 Hg
0.0000 0.0000 0.5000 Sb
```

## Properties
The calculation puts the uncorrected formation energy at -198 meV per atom. The value obtained for the total energy is -8.40 eV for the cell shown.


(7)
## MgHgSb3 (PBE-GGA)

Data for a relaxed MgHgSb3 crystal.

Geometry as POSCAR:
```
MgHgSb3
1.0
5.4210 0.0000 0.0000
0.0000 5.4210 0.0000
0.0000 0.0000 5.4210
Mg Hg Sb
1 1 3
direct
0.0000 0.0000 0.0000 Mg
0.5000 0.5000 0.5000 Hg
0.0000 0.0000 0.5000 Sb
0.0000 0.5000 0.0000 Sb
0.5000 0.0000 0.0000 Sb
```

## Properties
The calculation puts the uncorrected formation energy at 527 meV per atom. The value obtained for the total energy is -11.63 eV for the cell shown.


(8)
## MgHg2Sb (PBE-GGA)

Data for a relaxed MgHg2Sb crystal.

Geometry as POSCAR:
```
MgHg2Sb
1.0
-2.2606 2.2606 4.7512
2.2606 -2.2606 4.7512
2.2606 2.2606 -4.7512
Mg Hg Sb
1 2 1
direct
0.0000 0.0000 0.0000 Mg
0.5000 0.5000 0.0000 Hg
0.7500 0.2500 0.5000 Hg
0.2500 0.7500 0.5000 Sb
```

## Properties
The calculation puts the uncorrected formation energy at -10 meV per atom. The value obtained for the total energy is -6.36 eV for the cell shown.